(1)
Here is a relaxed MoOsBr2 crystal from Alexandria. Energies are from PBE.

Distance to the lowest polymorph of the same formula   1.3655 eV per atom
Energy   -4.811 eV/atom
DOS(E_F)   0.832 states/eV per atom
Energy relative to the elements, uncorrected   1.5402 eV per atom

a = 5.612 Å, b = 5.612 Å, c = 11.442 Å
α = 90.00°, β = 90.00°, γ = 90.00°
Space group I-42d (No. 122)
Symmetry-distinct sites (fractional):
Mo 0.000 0.000 0.000 (multiplicity 4)
Os 0.000 0.000 0.500 (multiplicity 4)
Br 0.245 0.250 0.625 (multiplicity 8)

(2)
Here is a relaxed FeSiMo crystal from Alexandria. Energies are from PBE.

Energy   -8.229 eV/atom
DOS(E_F)   0.742 states/eV per atom
Energy relative to the elements, uncorrected   0.0100 eV per atom

a = 2.7424 Å, b = 2.7424 Å, c = 6.1033 Å
α = 90.00°, β = 90.00°, γ = 120.00°
Space group P3m1 (No. 156)
Symmetry-distinct sites (fractional):
Fe 0.0000 0.0000 0.0000 (multiplicity 1)
Si 0.6667 0.3333 0.7014 (multiplicity 1)
Mo 0.3333 0.6667 0.3422 (multiplicity 1)

(3)
Here is a relaxed PrAl3Fe2 crystal from Alexandria. Energies are from PBE.

Energy   -5.844 eV/atom
DOS(E_F)   0.669 states/eV per atom
ΔH_f (0 K)   -0.355 eV/atom

a = 10.025 Å, b = 8.124 Å, c = 5.108 Å
α = 90.00°, β = 90.00°, γ = 90.00°
Space group Cmcm (No. 63)
Symmetry-distinct sites (fractional):
Pr 0.000 0.158 0.250 (multiplicity 4)
Al 0.000 0.450 0.750 (multiplicity 4)
Al 0.197 0.230 0.750 (multiplicity 8)
Fe 0.210 0.500 0.000 (multiplicity 8)

(4)
Here is a relaxed Er6Rh2S crystal from Alexandria. Energies are from PBE.

Energy   -5.993 eV/atom
DOS(E_F)   0.898 states/eV per atom
Energy relative to the elements, uncorrected   -0.8586 eV per atom

a = 6.385 Å, b = 7.186 Å, c = 11.576 Å
α = 90.00°, β = 122.61°, γ = 90.00°
Space group P2_1/c (No. 14)
Symmetry-distinct sites (fractional):
Er 0.085 0.182 0.426 (multiplicity 4)
Er 0.252 0.668 0.432 (multiplicity 4)
Er 0.394 0.048 0.245 (multiplicity 4)
Rh 0.198 0.111 0.749 (multiplicity 4)
S 0.500 0.000 0.500 (multiplicity 2)